Entry 1:
First-principles (PBE-GGA) data for an optimized crystal structure of Ac2In3S7, as listed in Alexandria.

It has space group Cmc2_1 (No. 36), with a = 25.472 Å, b = 7.324 Å, c = 7.094 Å, α = 90.00°, β = 90.00° and γ = 90.00°. Symmetry generates all atoms from Ac at (0.092, 0.185, 0.000), In at (0.000, 0.379, 0.582), In at (0.211, 0.326, 0.480), S at (0.000, 0.064, 0.727), S at (0.068, 0.450, 0.315), S at (0.145, 0.132, 0.645) and S at (0.205, 0.342, 0.108).

The density of states at the Fermi level is 0.189 states/eV/atom. Its uncorrected formation energy is -1116 meV/atom.


Entry 2:
First-principles (PBE-GGA) data for an optimized crystal structure of OsSCl, as listed in Alexandria.

It has space group Cm (No. 8), with a = 6.358 Å, b = 3.188 Å, c = 6.585 Å, α = 90.00°, β = 107.76° and γ = 90.00°. Symmetry generates all atoms from Os at (0.000, 0.000, 0.000), S at (0.256, 0.000, 0.820) and Cl at (0.273, 0.500, 0.263).

The density of states at the Fermi level is 1.183 states/eV/atom. Its uncorrected formation energy is -66 meV/atom.


Entry 3:
First-principles (PBE-GGA) data for an optimized crystal structure of Cs3BiI4, as listed in Alexandria.

It has space group Pmn2_1 (No. 31), with a = 12.285 Å, b = 11.783 Å, c = 7.443 Å, α = 90.00°, β = 90.00° and γ = 90.00°. Symmetry generates all atoms from Cs at (0.000, 0.067, 0.000), Cs at (0.199, 0.370, 0.491), Bi at (0.000, 0.689, 0.444), I at (0.000, 0.133, 0.499), I at (0.000, 0.730, 0.048) and I at (0.244, 0.308, 0.992).

Its uncorrected formation energy is -1032 meV/atom.


Entry 4:
First-principles (PBE-GGA) data for an optimized crystal structure of TbDy6Th2Sc3, as listed in Alexandria.

It has space group C2/m (No. 12), with a = 6.062 Å, b = 10.495 Å, c = 11.484 Å, α = 90.00°, β = 100.12° and γ = 90.00°. Symmetry generates all atoms from Tb at (0.000, 0.000, 0.000), Dy at (0.246, 0.332, 0.743), Dy at (0.250, 0.000, 0.743), Th at (0.000, 0.333, 0.000), Sc at (0.000, 0.167, 0.500) and Sc at (0.000, 0.500, 0.500).

The value obtained for the calculated formation energy is 56.8 meV/atom. The density of states at the Fermi level is 1.612 states/eV/atom.


Entry 5:
First-principles (PBE-GGA) data for an optimized crystal structure of Ir2SO, as listed in Alexandria.

It has space group Fm-3m (No. 225), with a = 5.801 Å, b = 5.801 Å, c = 5.801 Å, α = 90.00°, β = 90.00° and γ = 90.00°. Symmetry generates all atoms from Ir at (0.250, 0.250, 0.250), S at (0.000, 0.000, 0.000) and O at (0.000, 0.000, 0.500).

The excess energy over the best structure of this formula in the dataset is 0.257 eV/atom. The density of states at the Fermi level is 1.351 states/eV/atom. Its uncorrected formation energy is 576 meV/atom.


Entry 6:
First-principles (PBE-GGA) data for an optimized crystal structure of FeNiIr2Rh2, as listed in Alexandria.

It has space group Pnnm (No. 58), with a = 5.318 Å, b = 7.251 Å, c = 4.447 Å, α = 90.00°, β = 90.00° and γ = 90.00°. Symmetry generates all atoms from Fe at (0.000, 0.000, 0.000), Ni at (0.000, 0.500, 0.500), Ir at (0.138, 0.153, 0.500) and Rh at (0.133, 0.341, 0.000).

The value obtained for the calculated formation energy is 278.4 meV/atom. The density of states at the Fermi level is 1.397 states/eV/atom.


Entry 7:
First-principles (PBE-GGA) data for an optimized crystal structure of TbY2Mn, as listed in Alexandria.

It has space group P4/mmm (No. 123), with a = 3.560 Å, b = 3.560 Å, c = 8.681 Å, α = 90.00°, β = 90.00° and γ = 90.00°. Symmetry generates all atoms from Tb at (0.000, 0.000, 0.000), Y at (0.500, 0.500, 0.299) and Mn at (0.000, 0.000, 0.500).

The excess energy over the best structure of this formula in the dataset is 0.000 eV/atom. The value obtained for the calculated formation energy is 135.5 meV/atom. The density of states at the Fermi level is 1.512 states/eV/atom.


Entry 8:
First-principles (PBE-GGA) data for an optimized crystal structure of NdThHgOs, as listed in Alexandria.

It has space group F-43m (No. 216), with a = 7.356 Å, b = 7.356 Å, c = 7.356 Å, α = 90.00°, β = 90.00° and γ = 90.00°. Symmetry generates all atoms from Nd at (0.000, 0.000, 0.000), Th at (0.000, 0.000, 0.500), Hg at (0.250, 0.250, 0.250) and Os at (0.250, 0.250, 0.750).

The excess energy over the best structure of this formula in the dataset is 0.123 eV/atom. The value obtained for the calculated formation energy is -129.6 meV/atom. The density of states at the Fermi level is 0.647 states/eV/atom.


Question: Which formula does entry 4 have?
Answer: TbDy6Th2Sc3


Repeat the eighth record exactly.
First-principles (PBE-GGA) data for an optimized crystal structure of NdThHgOs, as listed in Alexandria.

It has space group F-43m (No. 216), with a = 7.356 Å, b = 7.356 Å, c = 7.356 Å, α = 90.00°, β = 90.00° and γ = 90.00°. Symmetry generates all atoms from Nd at (0.000, 0.000, 0.000), Th at (0.000, 0.000, 0.500), Hg at (0.250, 0.250, 0.250) and Os at (0.250, 0.250, 0.750).

The excess energy over the best structure of this formula in the dataset is 0.123 eV/atom. The value obtained for the calculated formation energy is -129.6 meV/atom. The density of states at the Fermi level is 0.647 states/eV/atom.